Model a:
DFT (PBE-GGA) results for a relaxed structure of BaTe2OsPb.

```
data_BaTe2OsPb
_cell_length_a 5.6279
_cell_length_b 5.6279
_cell_length_c 5.1510
_cell_angle_alpha 90.00
_cell_angle_beta 90.00
_cell_angle_gamma 90.00
_space_group_name_H-M_alt 'P 4/m m m'
_space_group_IT_number 123
_space_group_name_Hall '-P 4 2'
loop_
_atom_site_label
_atom_site_type_symbol
_atom_site_fract_x
_atom_site_fract_y
_atom_site_fract_z
Ba1 Ba 0.0000 0.0000 0.0000
Te1 Te 0.0000 0.5000 0.5000
Os1 Os 0.5000 0.5000 0.5000
Pb1 Pb 0.5000 0.5000 0.0000
```

=====

Model b:
DFT (PBE-GGA) results for a relaxed structure of BaTe2OsPb.

```
data_BaTe2OsPb
_cell_length_a 6.3308
_cell_length_b 6.3308
_cell_length_c 6.6338
_cell_angle_alpha 90.00
_cell_angle_beta 90.00
_cell_angle_gamma 90.00
_space_group_name_H-M_alt 'P 4/m m m'
_space_group_IT_number 123
_space_group_name_Hall '-P 4 2'
loop_
_atom_site_label
_atom_site_type_symbol
_atom_site_fract_x
_atom_site_fract_y
_atom_site_fract_z
Ba1 Ba 0.0000 0.0000 0.0000
Te1 Te 0.0000 0.5000 0.0000
Os1 Os 0.5000 0.5000 0.5000
Pb1 Pb 0.0000 0.0000 0.5000
```

=====

If you had to bet on the most stable structure above, which would it be? Bet on model a.